Tl5Ga2F12 | PBE | relaxed

It has space group C2/m (No. 12), with a = 14.530 Å, b = 6.265 Å, c = 8.749 Å, α = 90.00°, β = 108.22° and γ = 90.00°. The asymmetric unit holds Tl at (0.000, 0.000, 0.000), Tl at (0.192, 0.500, 0.322), Tl at (0.197, 0.500, 0.871), Ga at (0.000, 0.247, 0.500), F at (0.001, 0.000, 0.354), F at (0.001, 0.500, 0.355), F at (0.133, 0.240, 0.066) and F at (0.133, 0.253, 0.571).

The formation energy without anion corrections comes out at -2.1180 eV per atom. The value obtained for the total DFT energy (no corrections) is -4.241 eV/atom.